# 1
Here is a relaxed K6Rb3Au2 crystal from the Alexandria database. Energies are from GGA-PBE.

abc: 5.6517 5.6517 41.5716
angles: 90.00 90.00 90.00
Last column: nearest neighbours and their distance in Å.
Space group I4/mmm (No. 139)
Inequivalent atoms, fractional coordinates:
K: 0.0000 0.0000 0.1636 (multiplicity 4)  4 K 4.50, 4 Rb 4.53
K: 0.0000 0.5000 0.0794 (multiplicity 8)  2 Au 3.41
Rb: 0.0000 0.0000 0.2849 (multiplicity 4)  5 K 4.53-5.04, 4 Rb 4.94
Rb: 0.0000 0.0000 0.5000 (multiplicity 2)  8 Au 4.23, 8 K 4.35
Au: 0.0000 0.0000 0.0337 (multiplicity 4)  1 Au 2.80

## Properties
V	1328	Å³ per cell
spin magnetization	0.0	μB/f.u.
formation energy	-57	meV per atom
N(E_F)	14.3	states/eV per cell
density	2213	kg/m³

=====

# 2
Here is a relaxed Sc3NiSb2 crystal from the Alexandria database. Energies are from GGA-PBE.

abc: 11.3133 4.1233 11.0551
angles: 90.00 90.00 90.00
Last column: nearest neighbours and their distance in Å.
Space group Pnma (No. 62)
Inequivalent atoms, fractional coordinates:
Sc: 0.0531 0.2500 0.1250 (multiplicity 4)  1 Ni 2.66, 4 Sb 2.93-2.97
Sc: 0.1261 0.7500 0.5547 (multiplicity 4)  5 Sb 2.94-3.02, 3 Ni 3.06-3.14
Sc: 0.2283 0.2500 0.7903 (multiplicity 4)  2 Ni 2.66, 1 Sb 2.90
Ni: 0.1359 0.2500 0.3504 (multiplicity 4)  3 Sb 2.56, 3 Sc 2.66
Sb: 0.0071 0.7500 0.3127 (multiplicity 4)  2 Ni 2.56
Sb: 0.1878 0.7500 0.9959 (multiplicity 4)  1 Ni 2.56

## Properties
V	516	Å³ per cell
spin magnetization	0.0	μB/f.u.
raw formation energy	-799	meV per atom
N(E_F)	18.2	states/eV per cell
density	5630	kg/m³

=====

# 3
Here is a relaxed Li2Si2Pb crystal from the Alexandria database. Energies are from GGA-PBE.

abc: 7.7092 7.7092 3.1215
angles: 90.00 90.00 90.00
Last column: nearest neighbours and their distance in Å.
Space group P4/mbm (No. 127)
Inequivalent atoms, fractional coordinates:
Li: 0.1863 0.3137 0.0000 (multiplicity 4)  6 Si 2.74-2.82
Si: 0.1073 0.6073 0.5000 (multiplicity 4)  1 Si 2.34
Pb: 0.0000 0.0000 0.5000 (multiplicity 2)  2 Pb 3.12, 4 Si 3.14, 8 Li 3.22

## Properties
V	186	Å³ per cell
offset from the most stable computed form	0.0	meV/atom
spin magnetization	0.0	μB/f.u.
raw formation energy	-10	meV per atom
N(E_F)	2.6	states/eV per cell
density	4963	kg/m³

=====

# 4
Here is a relaxed Ce2HoTe crystal from the Alexandria database. Energies are from GGA-PBE.

abc: 4.1832 4.1832 6.7078
angles: 90.00 90.00 90.00
Last column: nearest neighbours and their distance in Å.
Space group P4/mmm (No. 123)
Inequivalent atoms, fractional coordinates:
Ce: 0.0000 0.0000 0.1964 (multiplicity 2)  1 Ce 2.63
Ho: 0.5000 0.5000 0.5000 (multiplicity 1)  2 Te 3.35, 8 Ce 3.59
Te: 0.5000 0.5000 0.0000 (multiplicity 1)  8 Ce 3.24, 2 Ho 3.35

## Properties
V	117	Å³ per cell
offset from the most stable computed form	0.0	meV/atom
spin magnetization	0.0	μB/f.u.
raw formation energy	-523	meV per atom
N(E_F)	8.5	states/eV per cell
density	8103	kg/m³

=====

# 5
Here is a relaxed HoSi7Os3 crystal from the Alexandria database. Energies are from GGA-PBE.

abc: 7.6513 7.6513 20.0160
angles: 90.00 90.00 120.00
Last column: nearest neighbours and their distance in Å.
Space group R-3c (No. 167, hexagonal axes)
Inequivalent atoms, fractional coordinates:
Ho: 0.0000 0.0000 0.0000 (multiplicity 6)  6 Os 3.06, 12 Si 3.15-3.22
Si: 0.0000 0.0000 0.2500 (multiplicity 6)  3 Os 2.51, 6 Si 2.70
Si: 0.0082 0.2013 0.1380 (multiplicity 36)  3 Os 2.46-2.52, 4 Si 2.61-2.71
Os: 0.0000 0.3284 0.2500 (multiplicity 18)  7 Si 2.46-2.52

## Properties
V	1015	Å³ per cell
spin magnetization	0.0	μB/f.u.
raw formation energy	-456	meV per atom
N(E_F)	36.1	states/eV per cell
density	9152	kg/m³

=====

# 6
Here is a relaxed NiAgW crystal from the Alexandria database. Energies are from GGA-PBE.

abc: 2.6853 3.9219 8.4270
angles: 90.00 90.00 90.00
Last column: nearest neighbours and their distance in Å.
Space group Imm2 (No. 44)
Inequivalent atoms, fractional coordinates:
Ni: 0.0000 0.0000 0.0000 (multiplicity 2)  4 W 2.66, 2 Ni 2.69, 5 Ag 2.73-2.80
Ag: 0.0000 0.0000 0.3236 (multiplicity 2)  5 W 2.67-2.83, 2 Ag 2.69, 5 Ni 2.73-2.80
W: 0.0000 0.0000 0.6410 (multiplicity 2)  4 Ni 2.66, 5 Ag 2.67-2.83, 2 W 2.69

## Properties
V	89	Å³ per cell
offset from the most stable computed form	167.3	meV/atom
spin magnetization	0.0	μB/f.u.
formation energy	477	meV per atom
N(E_F)	2.6	states/eV per cell
density	13112	kg/m³

=====

# 7
Here is a relaxed KMn2Ag crystal from the Alexandria database. Energies are from GGA-PBE.

abc: 3.0958 3.0958 31.5395
angles: 90.00 90.00 120.00
Last column: nearest neighbours and their distance in Å.
Space group R-3m (No. 166, hexagonal axes)
Inequivalent atoms, fractional coordinates:
K: 0.0000 0.0000 0.0000 (multiplicity 3)  6 K 3.10
Mn: 0.0000 0.0000 0.2359 (multiplicity 6)  3 Ag 2.82, 6 Mn 3.10
Ag: 0.0000 0.0000 0.5000 (multiplicity 3)  6 Mn 2.82, 6 Ag 3.10

## Properties
V	262	Å³ per cell
offset from the most stable computed form	234.3	meV/atom
spin magnetization	8.4	μB/f.u.
formation energy	838	meV per atom
N(E_F)	13.9	states/eV per cell
density	4888	kg/m³

=====

# 8
Here is a relaxed CuAg4S2 crystal from the Alexandria database. Energies are from GGA-PBE.

abc: 4.5758 4.5758 21.8003
angles: 90.00 90.00 120.00
Last column: nearest neighbours and their distance in Å.
Space group R-3m (No. 166, hexagonal axes)
Inequivalent atoms, fractional coordinates:
Cu: 0.0000 0.0000 0.0000 (multiplicity 3)  2 S 2.27
Ag: 0.0000 0.0000 0.2351 (multiplicity 6)  4 S 2.64-2.86, 1 Ag 2.91
Ag: 0.0000 0.0000 0.3687 (multiplicity 6)  3 Cu 2.75, 7 Ag 2.91-3.06, 3 S 3.04
S: 0.0000 0.0000 0.1040 (multiplicity 6)  1 Cu 2.27

## Properties
V	395	Å³ per cell
spin magnetization	0.0	μB/f.u.
raw formation energy	24	meV per atom
N(E_F)	6.4	states/eV per cell
density	7047	kg/m³

=====

# 9
Here is a relaxed Sc2WBr crystal from the Alexandria database. Energies are from GGA-PBE.

abc: 3.8007 4.8052 10.2353
angles: 90.00 90.00 90.00
Last column: nearest neighbours and their distance in Å.
Space group Cmm2 (No. 35)
Inequivalent atoms, fractional coordinates:
Sc: 0.0000 0.0000 0.0000 (multiplicity 2)  2 W 2.78, 4 Sc 3.06
Sc: 0.0000 0.5000 0.2569 (multiplicity 2)  2 Br 2.65
W: 0.0000 0.5000 0.8020 (multiplicity 2)  2 Sc 2.78, 4 W 3.06
Br: 0.0000 0.0000 0.4379 (multiplicity 2)  2 Sc 2.65

## Properties
V	187	Å³ per cell
offset from the most stable computed form	545.2	meV/atom
spin magnetization	0.3	μB/f.u.
raw formation energy	275	meV per atom
N(E_F)	9.6	states/eV per cell
density	6283	kg/m³

=====

# 10
Here is a relaxed YCl5 crystal from the Alexandria database. Energies are from GGA-PBE.

abc: 4.8462 4.8462 7.7757
angles: 90.00 90.00 90.00
Last column: nearest neighbours and their distance in Å.
Space group P4/mmm (No. 123)
Inequivalent atoms, fractional coordinates:
Y: 0.0000 0.0000 0.0000 (multiplicity 1)  2 Cl 2.40
Cl: 0.0000 0.0000 0.3080 (multiplicity 2)  1 Y 2.40
Cl: 0.5000 0.5000 0.1948 (multiplicity 2)  1 Cl 2.37
Cl: 0.5000 0.5000 0.5000 (multiplicity 1)  2 Cl 2.37

## Properties
V	183	Å³ per cell
offset from the most stable computed form	633.6	meV/atom
spin magnetization	0.0	μB/f.u.
raw formation energy	-853	meV per atom
density	2420	kg/m³

=====

# 11
Here is a relaxed Mo2RuCl crystal from the Alexandria database. Energies are from GGA-PBE.

abc: 2.9377 4.4953 9.0029
angles: 90.00 90.00 90.00
Last column: nearest neighbours and their distance in Å.
Space group Immm (No. 71)
Inequivalent atoms, fractional coordinates:
Mo: 0.0000 0.0000 0.2275 (multiplicity 4)  2 Cl 2.52, 4 Mo 2.72
Ru: 0.0000 0.5000 0.0000 (multiplicity 2)  4 Cl 2.69, 4 Mo 2.86, 2 Ru 2.94
Cl: 0.0000 0.5000 0.5000 (multiplicity 2)  4 Mo 2.52, 4 Ru 2.69

## Properties
V	119	Å³ per cell
offset from the most stable computed form	363.1	meV/atom
spin magnetization	0.0	μB/f.u.
raw formation energy	581	meV per atom
N(E_F)	6.7	states/eV per cell
density	9173	kg/m³

=====

# 12
Here is a relaxed LiYPS2 crystal from the Alexandria database. Energies are from GGA-PBE.

abc: 5.2745 5.2745 5.3957
angles: 90.00 90.00 90.00
Last column: nearest neighbours and their distance in Å.
Space group P4/mmm (No. 123)
Inequivalent atoms, fractional coordinates:
Li: 0.0000 0.0000 0.0000 (multiplicity 1)  4 P 3.73, 8 S 3.77
Y: 0.5000 0.5000 0.5000 (multiplicity 1)  4 S 2.64, 2 P 2.70
P: 0.5000 0.5000 0.0000 (multiplicity 1)  2 Y 2.70
S: 0.0000 0.5000 0.5000 (multiplicity 2)  2 Y 2.64

## Properties
V	150	Å³ per cell
offset from the most stable computed form	148.7	meV/atom
spin magnetization	1.6	μB/f.u.
raw formation energy	-331	meV per atom
N(E_F)	4.0	states/eV per cell
density	2112	kg/m³

=====

Which value of V does entry 6 give?
89 Å³ per cell

=====

The lowest V belongs to which entry?
NiAgW

=====

The highest density belongs to which entry?
NiAgW

=====

The highest V belongs to which entry?
K6Rb3Au2